The following is a DFT calculation (GGA-PBEsol) of a relaxed RbAs crystal.

Cell lengths 6.5877, 6.8954, 11.9586 Å; angles 90.00, 90.00, 90.00 degrees
Fractional coordinates of all 16 atoms:
Rb 0.0980 0.1098 0.4171
Rb 0.1696 0.3478 0.7845
Rb 0.3304 0.6522 0.2845
Rb 0.4020 0.8902 0.9171
Rb 0.5980 0.3902 0.5829
Rb 0.6696 0.1522 0.2155
Rb 0.8304 0.8478 0.7155
Rb 0.9020 0.6098 0.0829
As 0.0911 0.5724 0.5305
As 0.1701 0.1823 0.1085
As 0.3299 0.8177 0.6085
As 0.4089 0.4276 0.0305
As 0.5911 0.9276 0.4695
As 0.6701 0.3177 0.8915
As 0.8299 0.6823 0.3915
As 0.9089 0.0724 0.9695

Values from the calculation:
total moment: 0.000 μB/f.u.
calculated formation energy: -0.417 eV/atom
E: -55.7 eV for the cell shown